First-principles (GGA-PBE) data for crystalline Mn8Cd at its relaxed geometry, as listed in the Alexandria database.

Values from the calculation:
Formation energy from the elements in eV/atom: 0.2802
Fermi-level density of states in states/eV/f.u.: 13.10
Crystal system: tetragonal
Theoretical density in g cm⁻³: 8.583

CIF file:
```
data_Mn8Cd
_space_group_name_H-M_alt 'P 1'
_space_group_IT_number 1
_cell_length_a 5.7260
_cell_length_b 5.7260
_cell_length_c 5.7260
_cell_angle_alpha 95.73
_cell_angle_beta 95.73
_cell_angle_gamma 143.17
loop_
_space_group_symop_operation_xyz
'x,y,z'
loop_
_atom_site_label
_atom_site_type_symbol
_atom_site_fract_x
_atom_site_fract_y
_atom_site_fract_z
Mn1 Mn 0.0000 0.6519 0.6519
Mn2 Mn 0.0000 0.3481 0.3481
Mn3 Mn 0.6519 0.0000 0.6519
Mn4 Mn 0.6868 0.6868 0.3735
Mn5 Mn 0.6868 0.3132 0.0000
Mn6 Mn 0.3481 0.0000 0.3481
Mn7 Mn 0.3132 0.6868 0.0000
Mn8 Mn 0.3132 0.3132 0.6265
Cd1 Cd 0.0000 0.0000 0.0000
```